No. 1
Below is CrP after structural relaxation, with properties calculated at the PBE level.

Calculated values
- Symmetry: Pnma (62)
- E_tot: -64.546 eV/cell
- E_form: -53 kJ per mole of atoms
- Crystal system: orthorhombic

a b c (Å): 5.3274 3.0628 5.9471
angles (deg): 90.00 90.00 90.00
Atoms (fractional coordinates):
Cr 0.0087 0.2500 0.1902
Cr 0.4913 0.7500 0.6902
Cr 0.5087 0.2500 0.3098
Cr 0.9913 0.7500 0.8098
P 0.1822 0.2500 0.5644
P 0.3178 0.7500 0.0644
P 0.6822 0.2500 0.9356
P 0.8178 0.7500 0.4356

---

No. 2
Below is Pm7Pr16Tm6 after structural relaxation, with properties calculated at the PBE level.

Calculated values
- Symmetry: Fm-3m (225)
- E_tot: -130.186 eV/cell
- E_form: 21 kJ per mole of atoms
- Crystal system: cubic

a b c (Å): 11.4258 11.4258 11.4258
angles (deg): 60.00 60.00 60.00
Atoms (fractional coordinates):
Pm 0.0000 0.0000 0.0000
Pm 0.0000 0.0000 0.5000
Pm 0.0000 0.5000 0.0000
Pm 0.0000 0.5000 0.5000
Pm 0.5000 0.0000 0.0000
Pm 0.5000 0.0000 0.5000
Pm 0.5000 0.5000 0.0000
Pr 0.0508 0.6497 0.6497
Pr 0.1250 0.1250 0.1250
Pr 0.1250 0.1250 0.6250
Pr 0.1250 0.6250 0.1250
Pr 0.3503 0.3503 0.3503
Pr 0.3503 0.3503 0.9492
Pr 0.3503 0.9492 0.3503
Pr 0.3750 0.8750 0.8750
Pr 0.6250 0.1250 0.1250
Pr 0.6497 0.0508 0.6497
Pr 0.6497 0.6497 0.0508
Pr 0.6497 0.6497 0.6497
Pr 0.8750 0.3750 0.8750
Pr 0.8750 0.8750 0.3750
Pr 0.8750 0.8750 0.8750
Pr 0.9492 0.3503 0.3503
Tm 0.2618 0.2618 0.7382
Tm 0.2618 0.7382 0.2618
Tm 0.2618 0.7382 0.7382
Tm 0.7382 0.2618 0.2618
Tm 0.7382 0.2618 0.7382
Tm 0.7382 0.7382 0.2618

---

No. 3
Below is BaNbSN2 after structural relaxation, with properties calculated at the PBE level.

Calculated values
- Symmetry: P4/mmm (123)
- E_tot: -36.242 eV/cell
- E_form (uncorrected): -0.69 eV/atom
- E above lowest polymorph: 0.0 meV per atom
- Crystal system: tetragonal

a b c (Å): 4.2263 4.2263 5.0784
angles (deg): 90.00 90.00 90.00
Atoms (fractional coordinates):
Ba 0.0000 0.0000 0.0000
Nb 0.5000 0.5000 0.5000
S 0.5000 0.5000 0.0000
N 0.0000 0.5000 0.5000
N 0.5000 0.0000 0.5000